Below is Li4Nb3Cr2Fe3O16 after structural relaxation, with properties calculated at the PBE+U level.

## Properties
- DFT total energy (eV/atom) = -7.345
- magnetization (μB per atom) = 0.321
- density (g cm⁻³) = 4.42
- SG = P1, No. 1

Cell: 6.1164 6.0947 9.6841 Å, 89.78 91.90 119.78°
Each line ends with the local moment (μB).
Atoms (fractional coordinates):
Li (0.6488, 0.3283, 0.9050)  0.00
Li (0.0074, 0.9995, 0.0001)  0.00
Li (0.8001, 0.9068, 0.4577)  0.00
Li (0.3113, 0.6537, 0.3793)  0.00
Nb (0.3488, 0.1733, 0.2236)  -0.01
Nb (0.1406, 0.3446, 0.7232)  0.00
Nb (0.2158, 0.8820, 0.6888)  0.00
Cr (0.6979, 0.3565, 0.4790)  -0.97
Cr (0.3521, 0.6700, 0.9955)  -2.95
Fe (0.8337, 0.1674, 0.2097)  3.76
Fe (0.8458, 0.6630, 0.2077)  4.29
Fe (0.6670, 0.8101, 0.7254)  3.75
O (0.8407, 0.1666, 0.6001)  0.04
O (0.9574, 0.4811, 0.3424)  0.11
O (0.6492, 0.3349, 0.1028)  0.11
O (0.0207, 0.9945, 0.3142)  0.10
O (0.0361, 0.0095, 0.8113)  0.02
O (0.8703, 0.6887, 0.5974)  0.03
O (0.5192, 0.0421, 0.3594)  0.05
O (0.5339, 0.4941, 0.3487)  0.10
O (0.6859, 0.8325, 0.0929)  0.13
O (0.3637, 0.1988, 0.6046)  0.01
O (0.4618, 0.5057, 0.8466)  0.05
O (0.4622, 0.9508, 0.8424)  0.04
O (0.3123, 0.6483, 0.5985)  0.03
O (0.1980, 0.3428, 0.1040)  0.05
O (0.0286, 0.5102, 0.8421)  0.01
O (0.1907, 0.8440, 0.1055)  0.10